Here is a relaxed Al2OsRh crystal from Alexandria via LeMat-Bulk. Energies are from GGA-PBE.

Values from the calculation:
Mass density = 9.01 g cm⁻³
ΔH_f (0 K) = 156.7 kJ/mol of formula units
Total magnetic moment = 0.0 μB per formula unit
Raw total energy = -6.111 eV per atom
SG = Immm (71)

Cell and atoms, written as extended XYZ:
```
4
Lattice="-5.342 1.517 1.464 3.409 -4.224 1.876 -1.888 5.423 -0.023" Properties=species:S:1:pos:R:3 pbc="T T T"
Os -3.615 3.470 0.720
Rh 0.000 0.000 0.000
Al -5.456 5.237 1.087
Al -1.774 1.703 0.354
```